1.
Computed, not measured: an optimized crystal structure of HPdCl at the PBE level of DFT.

POSCAR file:
```
HPdCl
1.0
9.1088 0.0000 0.0000
0.0000 3.2804 0.0000
0.0000 0.0000 7.0515
H Pd Cl
4 4 4
Cartesian
0.3977 0.8201 0.7175
4.1567 2.4603 4.2433
4.9521 0.8201 2.8082
8.7111 2.4603 6.3340
1.0948 2.4603 0.0516
3.4596 0.8201 3.5773
5.6492 2.4603 3.4742
8.0140 0.8201 6.9999
1.7182 2.4603 3.3096
2.8362 0.8201 6.8354
6.2726 2.4603 0.2161
7.3906 0.8201 3.7419
```

Properties
The value obtained for the total magnetization is 0.00 μB per formula unit. The value obtained for the electronic total energy is -0.13323 Ha/atom. The calculated volume comes out at 210.7 Å³/cell. Its space group is Pnma (62).

=====

2.
Computed, not measured: an optimized crystal structure of HPd2Cl at the PBE level of DFT.

POSCAR file:
```
HPd2Cl
1.0
0.0000 3.0220 3.0220
3.0220 0.0000 3.0220
3.0220 3.0220 0.0000
H Pd Cl
1 2 1
Cartesian
0.0000 0.0000 0.0000
1.5110 1.5110 1.5110
4.5330 4.5330 4.5330
3.0220 3.0220 3.0220
```

Properties
The value obtained for the total magnetization is 0.00 μB per formula unit. The value obtained for the electronic total energy is -0.11977 Ha/atom. The calculated volume comes out at 55.2 Å³/cell. Its space group is Fm-3m (225).

=====

3.
Computed, not measured: an optimized crystal structure of H2PdCl at the PBE level of DFT.

POSCAR file:
```
H2PdCl
1.0
0.0000 2.7580 2.7580
2.7580 0.0000 2.7580
2.7580 2.7580 0.0000
H Pd Cl
2 1 1
Cartesian
1.3790 1.3790 1.3790
4.1371 4.1371 4.1371
0.0000 0.0000 0.0000
2.7580 2.7580 2.7580
```

Properties
The value obtained for the total magnetization is 0.00 μB per formula unit. The value obtained for the electronic total energy is -0.09378 Ha/atom. The calculated volume comes out at 42.0 Å³/cell. Its space group is Fm-3m (225).

=====

4.
Computed, not measured: an optimized crystal structure of RbHPd2Cl at the PBE level of DFT.

POSCAR file:
```
RbHPd2Cl
1.0
4.0651 0.0000 0.0000
0.0000 4.0651 0.0000
0.0000 0.0000 6.3245
Rb H Pd Cl
1 1 2 1
Cartesian
0.0000 0.0000 0.0000
0.0000 0.0000 3.1622
0.0000 2.0325 3.1622
2.0325 0.0000 3.1622
2.0325 2.0325 0.0000
```

Properties
The value obtained for the total magnetization is 0.68 μB per formula unit. The value obtained for the electronic total energy is -0.12662 Ha/atom. The calculated volume comes out at 104.5 Å³/cell. Its space group is P4/mmm (123).